DFT (PBE) results for a geometry-optimized KCaRh2 structure.

abc: 3.762 3.182 9.635
angles: 70.11 90.00 90.00
Positions (direct):
Ca (0.000, 0.604, 0.392)
K (0.500, 0.681, 0.824)
Rh (0.000, 0.906, 0.094)
Rh (0.500, 0.309, 0.190)

Computed properties:
formation energy from the elements	157	meV per atom
final energy	-4.29	eV/atom
symmetry	No. 6